No. 1
Ba3PtAu | PBE-GGA | relaxed

It has space group C2/m (No. 12), with a = 17.9264 Å, b = 5.0482 Å, c = 10.2992 Å, α = 90.00°, β = 121.18° and γ = 90.00°. Symmetry generates all atoms from Ba at (0.0453, 0.0000, 0.3745), Ba at (0.1345, 0.5000, 0.9510), Ba at (0.2331, 0.5000, 0.6684), Pt at (0.1580, 0.0000, 0.7665) and Au at (0.1229, 0.5000, 0.2796).

As for the total energy: -3.624 eV/atom. The formation energy comes out at -0.606 eV per atom.

***

No. 2
BePb3 | PBE-GGA | relaxed

It has space group Imm2 (No. 44), with a = 3.5289 Å, b = 9.8971 Å, c = 6.1339 Å, α = 90.00°, β = 90.00° and γ = 90.00°. Symmetry generates all atoms from Be at (0.0000, 0.0000, 0.0000), Pb at (0.0000, 0.3160, 0.6959) and Pb at (0.0000, 0.5000, 0.1651).

As for the total energy: -3.361 eV/atom. The formation energy comes out at 0.351 eV per atom.

***

No. 3
PaAgSb2 | PBE-GGA | relaxed

It has space group P4/mmm (No. 123), with a = 3.9469 Å, b = 3.9469 Å, c = 6.4185 Å, α = 90.00°, β = 90.00° and γ = 90.00°. Symmetry generates all atoms from Pa at (0.0000, 0.0000, 0.0000), Ag at (0.0000, 0.0000, 0.5000) and Sb at (0.5000, 0.5000, 0.2480).

For the uncorrected formation energy, the calculation gives -0.125 eV/atom. As for the total energy: -5.273 eV/atom.

***

No. 4
AgMoC2 | PBE-GGA | relaxed

It has space group I-42d (No. 122), with a = 4.9433 Å, b = 4.9433 Å, c = 9.4251 Å, α = 90.00°, β = 90.00° and γ = 90.00°. Symmetry generates all atoms from Ag at (0.0000, 0.0000, 0.0000), Mo at (0.0000, 0.0000, 0.5000) and C at (0.1991, 0.2500, 0.6250).

As for the total energy: -7.007 eV/atom. The formation energy comes out at 1.026 eV per atom.

***

No. 5
Sr6LiAg5 | PBE-GGA | relaxed

It has space group P2/m (No. 10), with a = 5.5779 Å, b = 8.0032 Å, c = 8.8050 Å, α = 90.00°, β = 108.13° and γ = 90.00°. Symmetry generates all atoms from Sr at (0.0000, 0.2402, 0.0000), Sr at (0.3292, 0.2471, 0.6597), Li at (0.5000, 0.5000, 0.0000), Ag at (0.1589, 0.5000, 0.3143), Ag at (0.1683, 0.0000, 0.3337) and Ag at (0.5000, 0.0000, 0.0000).

As for the total energy: -2.407 eV/atom. The formation energy comes out at -0.218 eV per atom.

***

No. 6
Sm3Dy4Zn | PBE-GGA | relaxed

It has space group P4/mmm (No. 123), with a = 3.5758 Å, b = 3.5758 Å, c = 18.8755 Å, α = 90.00°, β = 90.00° and γ = 90.00°. Symmetry generates all atoms from Sm at (0.0000, 0.0000, 0.0000), Sm at (0.0000, 0.0000, 0.2694), Dy at (0.5000, 0.5000, 0.1352), Dy at (0.5000, 0.5000, 0.4063) and Zn at (0.0000, 0.0000, 0.5000).

As for the total energy: -4.304 eV/atom. The formation energy comes out at -0.074 eV per atom.

***

No. 7
CsCd2 | PBE-GGA | relaxed

It has space group Fd-3m (No. 227, origin choice 2), with a = 9.6156 Å, b = 9.6156 Å, c = 9.6156 Å, α = 90.00°, β = 90.00° and γ = 90.00°. Symmetry generates all atoms from Cs at (0.1250, 0.1250, 0.1250) and Cd at (0.0000, 0.0000, 0.5000).

As for the total energy: -0.917 eV/atom. The formation energy comes out at -0.023 eV per atom.

***

No. 8
NaCoAu3 | PBE-GGA | relaxed

It has space group Pm-3m (No. 221), with a = 4.8733 Å, b = 4.8733 Å, c = 4.8733 Å, α = 90.00°, β = 90.00° and γ = 90.00°. Symmetry generates all atoms from Na at (0.0000, 0.0000, 0.0000), Co at (0.5000, 0.5000, 0.5000) and Au at (0.0000, 0.5000, 0.5000).

As for the total energy: -3.335 eV/atom. The formation energy comes out at 0.317 eV per atom.

***

No. 9
InPb2 | PBE-GGA | relaxed

It has space group I4_1/amd (No. 141, origin choice 2), with a = 3.4334 Å, b = 3.4334 Å, c = 31.5042 Å, α = 90.00°, β = 90.00° and γ = 90.00°. Symmetry generates all atoms from In at (0.0000, 0.2500, 0.3750) and Pb at (0.0000, 0.2500, 0.7961).

As for the total energy: -3.338 eV/atom. The formation energy comes out at 0.047 eV per atom.

***

No. 10
TaMn2Tc | PBE-GGA | relaxed

It has space group P4/mmm (No. 123), with a = 4.2440 Å, b = 4.2440 Å, c = 3.0351 Å, α = 90.00°, β = 90.00° and γ = 90.00°. Symmetry generates all atoms from Ta at (0.0000, 0.0000, 0.0000), Mn at (0.0000, 0.5000, 0.5000) and Tc at (0.5000, 0.5000, 0.0000).

As for the total energy: -10.118 eV/atom. The formation energy comes out at 0.022 eV per atom.

***

No. 11
K2SeCl | PBE-GGA | relaxed

It has space group I-42d (No. 122), with a = 8.3835 Å, b = 8.3835 Å, c = 9.0655 Å, α = 90.00°, β = 90.00° and γ = 90.00°. Symmetry generates all atoms from K at (0.2250, 0.2500, 0.1250), Se at (0.0000, 0.0000, 0.5000) and Cl at (0.0000, 0.0000, 0.0000).

For the uncorrected formation energy, the calculation gives -1.117 eV/atom. As for the total energy: -2.999 eV/atom.

***

No. 12
Y2BeAu | PBE-GGA | relaxed

It has space group I-42d (No. 122), with a = 4.9456 Å, b = 4.9456 Å, c = 17.8309 Å, α = 90.00°, β = 90.00° and γ = 90.00°. Symmetry generates all atoms from Y at (0.2400, 0.2500, 0.1250), Be at (0.0000, 0.0000, 0.0000) and Au at (0.0000, 0.0000, 0.5000).

As for the total energy: -4.661 eV/atom. The formation energy comes out at 0.322 eV per atom.